Entry 1:
# Ce3ErTh4As8

Ce3ErTh4As8 after structural relaxation (PBE, the Alexandria database).

Lattice parameters (Å, degrees): 8.4514 8.4514 20.6483 90.00 90.00 120.00
Space group R-3m (No. 166, hexagonal axes)
Symmetry-distinct sites (fractional):
Ce: 0.0000 0.5000 0.0000 (multiplicity 9)
Er: 0.0000 0.0000 0.0000 (multiplicity 3)
Th: 0.0000 0.0000 0.5000 (multiplicity 3)
Th: 0.0000 0.5000 0.5000 (multiplicity 9)
As: 0.0000 0.0000 0.2509 (multiplicity 6)
As: 0.0033 0.5016 0.7483 (multiplicity 18)

Crystal system: trigonal
ΔE_f (meV/atom): -1431
VASP energy (eV/atom): -7.0088

Entry 2:
# AcCdPb4

AcCdPb4 after structural relaxation (PBE, the Alexandria database).

Lattice parameters (Å, degrees): 9.245 9.245 9.245 90.00 90.00 90.00
Space group F-43m (No. 216)
Symmetry-distinct sites (fractional):
Ac: 0.000 0.000 0.000 (multiplicity 4)
Cd: 0.250 0.250 0.250 (multiplicity 4)
Pb: 0.126 0.126 0.626 (multiplicity 16)

Crystal system: cubic
ΔE_f (meV/atom): -143
VASP energy (eV/atom): -3.4520